Below is a relaxed CsCaFeO3 crystal, with properties calculated at the GGA+U level.

Geometry as POSCAR:
```
CsCaFeO3
1.0
3.569 0.000 0.000
-1.785 6.761 0.000
0.000 0.000 9.915
Cs Ca Fe O
2 2 2 6
Cartesian
1.785 3.345 7.436
0.000 3.416 2.479
0.000 0.000 4.957
0.000 0.000 0.000
0.000 6.431 7.436
1.785 0.330 2.479
1.785 1.276 4.074
0.000 5.485 5.841
0.000 5.485 9.032
1.785 1.276 0.883
0.000 0.605 7.436
1.785 6.157 2.479
```

Calculated values
Final energy: -5.805 eV per atom
DOS(E_F): 0.000 states/eV/atom
SG: Cmcm, No. 63